No. 1
A plane-wave DFT calculation with PBE was carried out for a relaxed structure of VGaTeN2.

```
5
Lattice="3.848 0.000 0.000 0.000 3.848 0.000 0.000 0.000 5.595" Properties=species:S:1:pos:R:3 pbc="T T T"
N 0.000 1.924 0.000
N 1.924 0.000 0.000
Te 0.000 0.000 2.797
Ga 1.924 1.924 2.797
V 0.000 0.000 0.000
```

Computed properties:
- uncorrected formation energy (eV/f.u.) = 1.77
- DOS(E_F) (states/eV/atom) = 0.545
- polymorph energy (0 for the lowest one) (eV per atom) = 0.000

No. 2
A plane-wave DFT calculation with PBE was carried out for a relaxed structure of VGaTeN2.

```
5
Lattice="-0.156 -3.668 1.066 0.491 -1.078 -3.635 5.750 -0.017 0.782" Properties=species:S:1:pos:R:3 pbc="T T T"
N 0.245 -0.539 -1.817
N -0.078 -1.834 0.533
Te 2.875 -0.008 0.391
Ga 0.000 0.000 0.000
V 3.043 -2.381 -0.893
```

Computed properties:
- uncorrected formation energy (eV/f.u.) = 7.22
- DOS(E_F) (states/eV/atom) = 1.648
- polymorph energy (0 for the lowest one) (eV per atom) = 1.091

No. 3
A plane-wave DFT calculation with PBE was carried out for a relaxed structure of GaTeWN2.

```
5
Lattice="-3.032 1.650 1.954 0.248 -2.827 2.772 3.588 3.159 2.899" Properties=species:S:1:pos:R:3 pbc="T T T"
Te 1.794 1.580 1.450
Ga 0.000 0.000 0.000
W 0.402 0.991 3.813
N 0.124 -1.413 1.386
N -1.516 0.825 0.977
```

Computed properties:
- uncorrected formation energy (eV/f.u.) = 9.14
- DOS(E_F) (states/eV/atom) = 0.315
- polymorph energy (0 for the lowest one) (eV per atom) = 1.464

No. 4
A plane-wave DFT calculation with PBE was carried out for a relaxed structure of GaTeWN2.

```
5
Lattice="3.970 0.000 0.000 0.000 3.970 0.000 0.000 0.000 5.689" Properties=species:S:1:pos:R:3 pbc="T T T"
Te 0.000 0.000 2.845
Ga 1.985 1.985 2.845
W 0.000 0.000 0.000
N 0.000 1.985 0.000
N 1.985 0.000 0.000
```

Computed properties:
- uncorrected formation energy (eV/f.u.) = 1.82
- DOS(E_F) (states/eV/atom) = 0.528
- polymorph energy (0 for the lowest one) (eV per atom) = 0.000

No. 5
A plane-wave DFT calculation with PBE was carried out for a relaxed structure of YGaTeN2.

```
5
Lattice="4.493 0.000 0.000 0.000 4.493 0.000 0.000 0.000 6.250" Properties=species:S:1:pos:R:3 pbc="T T T"
Y 0.000 0.000 0.000
Te 0.000 0.000 3.125
Ga 2.247 2.247 3.125
N 0.000 2.247 0.000
N 2.247 0.000 0.000
```

Computed properties:
- uncorrected formation energy (eV/f.u.) = 3.28
- DOS(E_F) (states/eV/atom) = 0.633
- polymorph energy (0 for the lowest one) (eV per atom) = 0.097

No. 6
A plane-wave DFT calculation with PBE was carried out for a relaxed structure of YGaTeN2.

```
5
Lattice="4.131 0.000 0.000 0.000 4.131 0.000 0.000 0.000 5.475" Properties=species:S:1:pos:R:3 pbc="T T T"
Y 2.066 2.066 2.737
Te 0.000 0.000 2.737
Ga 0.000 0.000 0.000
N 0.000 2.066 0.000
N 2.066 0.000 0.000
```

Computed properties:
- uncorrected formation energy (eV/f.u.) = 2.79
- DOS(E_F) (states/eV/atom) = 0.486
- polymorph energy (0 for the lowest one) (eV per atom) = 0.000